## Mn3CoCu2P6O24 (GGA+U)

Data for Mn3CoCu2P6O24 after structural relaxation.

Computed properties:
* symmetry: R3 (146)
* magnetic moment: 14.6 μB/cell
* crystal system: trigonal
* E_tot: -6.880 eV per atom

Cell lengths 8.4890, 8.4890, 8.4890 Å; angles 60.27, 60.27, 60.27 degrees
Closest atoms and distances in Å follow each position.
Fractional coordinates of all 36 atoms:
Mn 0.0000 0.0000 0.0000  6 O 1.91-1.99
Mn 0.2164 0.2164 0.2164  6 O 1.88-1.97
Mn 0.5001 0.5001 0.5001  6 O 1.91-1.99
Co 0.7150 0.7150 0.7150  6 O 1.93-2.03
Cu 0.3582 0.3582 0.3582  6 O 2.20
Cu 0.8556 0.8556 0.8556  6 O 2.16-2.21
P 0.1087 0.3986 0.8196  4 O 1.53-1.57
P 0.3162 0.8988 0.6090  4 O 1.52-1.58
P 0.3986 0.8196 0.1087  4 O 1.53-1.57
P 0.6090 0.3162 0.8988  4 O 1.52-1.58
P 0.8196 0.1087 0.3986  4 O 1.53-1.57
P 0.8988 0.6090 0.3162  4 O 1.52-1.58
O 0.0479 0.2396 0.8517  1 P 1.53
O 0.0974 0.4402 0.3006  1 P 1.58
O 0.1159 0.9159 0.7733  1 P 1.57
O 0.1682 0.3633 0.9809  1 P 1.53
O 0.2396 0.8517 0.0479  1 P 1.53
O 0.2796 0.4064 0.6230  1 P 1.57
O 0.3006 0.0974 0.4402  1 P 1.58
O 0.3478 0.7379 0.5515  1 P 1.53
O 0.3633 0.9809 0.1682  1 P 1.53
O 0.4064 0.6230 0.2796  1 P 1.57
O 0.4402 0.3006 0.0974  1 P 1.58
O 0.4733 0.8688 0.6682  1 P 1.52
O 0.5515 0.3478 0.7379  1 P 1.53
O 0.5969 0.7988 0.9477  1 P 1.55
O 0.6230 0.2796 0.4064  1 P 1.57
O 0.6682 0.4733 0.8688  1 P 1.52
O 0.7379 0.5515 0.3478  1 P 1.53
O 0.7733 0.1159 0.9159  1 P 1.57
O 0.7988 0.9477 0.5969  1 P 1.55
O 0.8517 0.0479 0.2396  1 P 1.53
O 0.8689 0.6682 0.4733  1 P 1.52
O 0.9159 0.7733 0.1159  1 P 1.57
O 0.9477 0.5969 0.7988  1 P 1.55
O 0.9809 0.1682 0.3633  1 P 1.53